Entry 1:
Entry from the Alexandria database: LaRe2Si2 at its PBEsol-relaxed geometry (meta-GGA SCAN).

a = 4.1205 Å, b = 4.2031 Å, c = 10.8752 Å
α = 101.14°, β = 100.92°, γ = 90.00°
Element x y z (fractional)
Re (0.4611, 0.7111, 0.9221)
Re (0.0358, 0.7858, 0.0716)
Re (0.5389, 0.2889, 0.0779)
Re (0.9642, 0.2142, 0.9284)
Si (0.2786, 0.0286, 0.5572)
Si (0.7214, 0.9714, 0.4428)
Si (0.6043, 0.8543, 0.2087)
Si (0.3957, 0.1457, 0.7913)
La (0.1630, 0.4130, 0.3259)
La (0.8370, 0.5870, 0.6741)

As for the electronic total energy: -41.643 eV per atom. The space group is No. 74. The raw formation energy comes out at -2.89 eV/f.u.

=====

Entry 2:
Entry from the Alexandria database: TaTi2Tl at its PBEsol-relaxed geometry (meta-GGA SCAN).

a = 4.6265 Å, b = 4.6265 Å, c = 4.6265 Å
α = 60.00°, β = 60.00°, γ = 60.00°
Element x y z (fractional)
Tl (0.5000, 0.5000, 0.5000)
Ti (0.2500, 0.2500, 0.2500)
Ti (0.7500, 0.7500, 0.7500)
Ta (0.0000, 0.0000, 0.0000)

As for the electronic total energy: -42.757 eV per atom. The space group is No. 225. The formation energy is -0.007 eV per atom.

=====

Entry 3:
Entry from the Alexandria database: TaReTe at its PBEsol-relaxed geometry (meta-GGA SCAN).

a = 4.3845 Å, b = 4.3845 Å, c = 4.3845 Å
α = 60.00°, β = 60.00°, γ = 60.00°
Element x y z (fractional)
Re (0.7500, 0.7500, 0.7500)
Ta (0.0000, 0.0000, 0.0000)
Te (0.5000, 0.5000, 0.5000)

As for the electronic total energy: -58.291 eV per atom. The space group is No. 216. The raw formation energy comes out at 0.06 eV/f.u.

=====

Entry 4:
Entry from the Alexandria database: LaYAs2 at its PBEsol-relaxed geometry (meta-GGA SCAN).

a = 4.1224 Å, b = 4.1224 Å, c = 7.5525 Å
α = 74.16°, β = 74.16°, γ = 60.00°
Element x y z (fractional)
Y (0.3313, 0.3313, 0.0060)
As (0.9217, 0.9217, 0.2348)
As (0.7445, 0.7445, 0.7665)
La (0.5024, 0.5024, 0.4927)

As for the electronic total energy: -29.461 eV per atom. The space group is No. 160. The formation energy is -1.629 eV per atom.

=====

How do the records compare in M_tot? In the order shown, they have 0.0 0.0 0.0 0.0 μB/f.u..